Record 1
Here is an optimized crystal structure of Be2ReBr from Alexandria. Energies are from PBE.

```
Be2ReBr
1.0
-1.5245 2.0676 4.2544
1.5245 -2.0676 4.2544
1.5245 2.0676 -4.2544
Be Re Br
2 1 1
Cartesian
0.0000 0.0000 0.0000 Be
0.0000 2.0676 2.5153 Be
0.0000 0.0000 4.8152 Re
1.5245 0.0000 2.0145 Br
```

Calculated values
ΔE to the lowest computed polymorph ... 183 kJ/mol of formula units


Record 2
Here is an optimized crystal structure of La2TcHg from Alexandria. Energies are from PBE.

```
La2TcHg
1.0
1.8017 1.0402 9.5365
-1.8017 1.0402 9.5365
0.0000 -2.0804 9.5365
La Tc Hg
2 1 1
Cartesian
0.0000 0.0000 0.0000 La
0.0000 0.0000 6.3710 La
0.0000 0.0000 20.9069 Tc
0.0000 0.0000 13.3242 Hg
```

Calculated values
Calculated formation energy ... 0.308 eV per atom


Record 3
Here is an optimized crystal structure of ZnAgPb2 from Alexandria. Energies are from PBE.

```
ZnAgPb2
1.0
3.4051 -3.8964 0.0000
3.4051 3.8964 0.0000
0.0000 0.0000 3.6735
Zn Ag Pb
1 1 2
Cartesian
0.0000 0.0000 0.0000 Zn
3.4051 0.0000 0.0000 Ag
1.7025 1.9482 1.8368 Pb
1.7025 -1.9482 1.8368 Pb
```

Calculated values
Calculated formation energy ... 0.145 eV per atom


Record 4
Here is an optimized crystal structure of Rb3AlSb2 from Alexandria. Energies are from PBE.

```
Rb3AlSb2
1.0
10.1029 -2.2445 0.0000
10.1029 2.2445 0.0000
-6.4927 0.0000 12.2631
Rb Al Sb
6 2 4
Cartesian
-0.7048 0.0000 2.8776 Rb
0.6480 0.0000 7.5699 Rb
0.3672 0.0000 12.2518 Rb
13.3458 0.0000 0.0112 Rb
13.0650 0.0000 4.6932 Rb
14.4178 0.0000 9.3854 Rb
6.3406 0.0000 4.3253 Al
7.3724 0.0000 7.9378 Al
-2.2547 0.0000 9.5362 Sb
4.8907 0.0000 6.6831 Sb
8.8222 0.0000 5.5800 Sb
15.9676 0.0000 2.7268 Sb
```


Record 5
Here is an optimized crystal structure of MgScAl from Alexandria. Energies are from PBE.

```
MgScAl
1.0
4.6923 0.0000 0.0000
0.0000 3.5450 0.0000
-2.3424 0.0000 7.3572
Mg Sc Al
2 2 2
Cartesian
0.0000 0.0000 0.0000 Mg
2.3462 1.7725 0.0000 Mg
0.0039 1.7725 2.4987 Sc
2.3461 1.7725 4.8585 Sc
-0.0011 0.0000 4.9758 Al
2.3510 0.0000 2.3814 Al
```

Calculated values
Calculated formation energy ... -0.215 eV per atom


Record 6
Here is an optimized crystal structure of CeMgIn from Alexandria. Energies are from PBE.

```
CeMgIn
1.0
5.1130 0.0000 0.0000
-2.5565 4.4280 0.0000
0.0000 0.0000 3.4877
Ce Mg In
1 1 1
Cartesian
0.0000 0.0000 0.0000 Ce
0.0000 2.9520 1.7438 Mg
2.5565 1.4760 1.7438 In
```

Calculated values
Calculated formation energy ... -0.247 eV per atom


| no. | total energy (eV for the cell shown) | M_tot (Bohr magnetons per cell) |
| --- | --- | --- |
| 1 | -18.15 | 0.00 |
| 2 | -19.29 | 0.01 |
| 3 | -10.96 | 0.00 |
| 4 | -32.89 | 0.00 |
| 5 | -24.63 | 0.00 |
| 6 | -11.01 | 1.38 |